No. 1
Compound: ScCo2Cu2
Source: the Alexandria database
Functional: PBEsol
Structure: optimized geometry

Cell and atoms, written as POSCAR:
```
ScCo2Cu2
1.0
-1.722 1.722 5.649
1.722 -1.722 5.649
1.722 1.722 -5.649
Sc Co Cu
1 2 2
direct
0.000 0.000 0.000
0.250 0.750 0.500
0.750 0.250 0.500
0.397 0.397 0.000
0.603 0.603 0.000
```

## Properties
The crystal system is tetragonal.

No. 2
Compound: ScCoCu2
Source: the Alexandria database
Functional: PBEsol
Structure: optimized geometry

Cell and atoms, written as POSCAR:
```
ScCoCu2
1.0
2.742 0.000 0.000
0.000 4.105 0.000
-1.301 0.000 4.650
Sc Co Cu
1 1 2
direct
0.000 0.000 0.000
0.000 0.000 0.500
0.402 0.500 0.726
0.598 0.500 0.274
```

## Properties
The crystal system is monoclinic.

No. 3
Compound: ScCoCu2
Source: the Alexandria database
Functional: PBEsol
Structure: optimized geometry

Cell and atoms, written as POSCAR:
```
ScCoCu2
1.0
3.600 0.000 0.000
0.000 3.600 0.000
0.000 0.000 3.941
Sc Co Cu
1 1 2
direct
0.000 0.000 0.000
0.500 0.500 0.000
0.000 0.500 0.500
0.500 0.000 0.500
```

## Properties
The crystal system is tetragonal.

No. 4
Compound: Sc2CoCu
Source: the Alexandria database
Functional: PBEsol
Structure: optimized geometry

Cell and atoms, written as POSCAR:
```
Sc2CoCu
1.0
0.000 3.140 3.140
3.140 0.000 3.140
3.140 3.140 0.000
Sc Co Cu
2 1 1
direct
0.250 0.250 0.250
0.750 0.750 0.750
0.000 0.000 0.000
0.500 0.500 0.500
```

## Properties
The energy above the most stable polymorph in this dataset is 0 meV per atom. The crystal system is cubic.

| no. | DOS(E_F) (states/eV per cell) | total energy (eV per atom) |
| --- | --- | --- |
| 1 | 3.86 | -6.0786 |
| 2 | 2.63 | -5.7454 |
| 3 | 0.65 | -5.9055 |
| 4 | 2.88 | -6.6215 |